No. 1
Eu2ScIn | PBE-GGA | optimized geometry

Summary:
- E_form (meV per atom) = -87
- spin magnetization (μB per atom) = 3.584

Cell: 7.8550 7.8550 7.8550 Å, 90.00 90.00 90.00°
Closest atoms and distances in Å follow each position.
Space group Fm-3m (No. 225)
Inequivalent atoms, fractional coordinates:
Eu 0.2500 0.2500 0.2500 (multiplicity 8)  4 In 3.40, 4 Sc 3.40
Sc 0.0000 0.0000 0.0000 (multiplicity 4)  8 Eu 3.40
In 0.0000 0.0000 0.5000 (multiplicity 4)  8 Eu 3.40

No. 2
EuScIn4 | PBE-GGA | optimized geometry

Summary:
- E_form (meV per atom) = -256
- spin magnetization (μB per atom) = 1.304

Cell: 8.5202 8.5202 8.5202 Å, 90.00 90.00 90.00°
Closest atoms and distances in Å follow each position.
Space group F-43m (No. 216)
Inequivalent atoms, fractional coordinates:
Eu 0.0000 0.0000 0.0000 (multiplicity 4)  12 In 3.53, 4 Sc 3.69
Sc 0.2500 0.2500 0.7500 (multiplicity 4)  12 In 3.53, 4 Eu 3.69
In 0.1248 0.1248 0.3752 (multiplicity 16)  6 In 3.01-3.02